Material: PrBN2
Method: DFT, GGA-PBEsol
State: optimized geometry

Cell lengths 6.936, 7.386, 7.386 Å; angles 69.33, 71.76, 108.24 degrees
Fractional positions:
Pr (0.204, 0.454, 0.091)
Pr (0.296, 0.091, 0.454)
Pr (0.750, 0.454, 0.454)
Pr (0.796, 0.546, 0.909)
Pr (0.704, 0.909, 0.546)
Pr (0.250, 0.546, 0.546)
B (0.131, 0.881, 0.239)
B (0.869, 0.119, 0.761)
B (0.631, 0.761, 0.119)
B (0.750, 0.119, 0.119)
B (0.369, 0.239, 0.881)
B (0.250, 0.881, 0.881)
N (0.250, 0.759, 0.759)
N (0.491, 0.483, 0.759)
N (0.991, 0.241, 0.517)
N (0.009, 0.759, 0.483)
N (0.750, 0.241, 0.241)
N (0.509, 0.517, 0.241)
N (0.250, 0.122, 0.122)
N (0.128, 0.756, 0.122)
N (0.372, 0.122, 0.756)
N (0.750, 0.878, 0.878)
N (0.872, 0.244, 0.878)
N (0.628, 0.878, 0.244)

=====

Material: Zr2TeCl
Method: DFT, GGA-PBEsol
State: optimized geometry

Properties
* polymorph energy (0 for the lowest one): 1.25 eV/f.u.

Cell lengths 3.317, 5.620, 5.620 Å; angles 106.62, 107.10, 107.10 degrees
Fractional positions:
Te (0.000, 0.500, 0.500)
Zr (0.000, 0.500, 0.000)
Zr (0.000, 0.000, 0.500)
Cl (0.000, 0.000, 0.000)

=====

| no. | ΔE_f (raw) (eV per atom) |
| --- | --- |
| 1 | -1.446 |
| 2 | -0.470 |